# 1
# CuSnBr2N, relaxed, DFT PBE-GGA
# - energy relative to the elements, uncorrected (eV per atom) = 0.653
data_CuSnBr2N
_cell_length_a 5.682
_cell_length_b 5.682
_cell_length_c 3.815
_cell_angle_alpha 90.00
_cell_angle_beta 90.00
_cell_angle_gamma 90.00
_symmetry_space_group_name_H-M 'P 1'
_symmetry_Int_Tables_number 1
_symmetry_space_group_name_Hall 'P 1'
loop_
_atom_site_label
_atom_site_type_symbol
_atom_site_fract_x
_atom_site_fract_y
_atom_site_fract_z
Cu1 Cu 0.000 0.000 0.000
Sn1 Sn 0.500 0.500 0.500
Br1 Br 0.000 0.500 0.500
Br2 Br 0.500 0.000 0.500
N1 N 0.500 0.500 0.000

---

# 2
# Li3Hf3CuSe8, relaxed, DFT PBE-GGA
# - energy relative to the elements, uncorrected (eV per atom) = -1.110
data_Li3Hf3CuSe8
_cell_length_a 7.586
_cell_length_b 7.586
_cell_length_c 7.808
_cell_angle_alpha 119.07
_cell_angle_beta 119.07
_cell_angle_gamma 60.05
_symmetry_space_group_name_H-M 'P 1'
_symmetry_Int_Tables_number 1
_symmetry_space_group_name_Hall 'P 1'
loop_
_atom_site_label
_atom_site_type_symbol
_atom_site_fract_x
_atom_site_fract_y
_atom_site_fract_z
Li1 Li 0.000 0.000 0.000
Li2 Li 0.000 0.500 0.000
Li3 Li 0.500 0.000 0.000
Hf1 Hf 0.000 0.500 0.500
Hf2 Hf 0.500 0.000 0.500
Hf3 Hf 0.500 0.500 0.500
Cu1 Cu 0.000 0.000 0.500
Se1 Se 0.245 0.245 0.735
Se2 Se 0.246 0.744 0.736
Se3 Se 0.250 0.250 0.252
Se4 Se 0.256 0.754 0.264
Se5 Se 0.744 0.246 0.736
Se6 Se 0.750 0.750 0.748
Se7 Se 0.754 0.256 0.264
Se8 Se 0.755 0.755 0.265

---

# 3
# LaHg7Pd5, relaxed, DFT PBE-GGA
# - energy of formation from the pure elements (meV per atom) = -297
data_LaHg7Pd5
_cell_length_a 7.428
_cell_length_b 7.428
_cell_length_c 7.428
_cell_angle_alpha 134.07
_cell_angle_beta 98.95
_cell_angle_gamma 98.56
_symmetry_space_group_name_H-M 'P 1'
_symmetry_Int_Tables_number 1
_symmetry_space_group_name_Hall 'P 1'
loop_
_atom_site_label
_atom_site_type_symbol
_atom_site_fract_x
_atom_site_fract_y
_atom_site_fract_z
La1 La 0.000 0.000 0.000
Hg1 Hg 0.116 0.424 0.692
Hg2 Hg 0.241 0.906 0.335
Hg3 Hg 0.321 0.321 0.000
Hg4 Hg 0.572 0.906 0.665
Hg5 Hg 0.640 0.640 0.000
Hg6 Hg 0.680 0.180 0.500
Hg7 Hg 0.732 0.424 0.308
Pd1 Pd 0.150 0.650 0.500
Pd2 Pd 0.410 0.409 0.485
Pd3 Pd 0.410 0.925 0.001
Pd4 Pd 0.924 0.409 0.999
Pd5 Pd 0.924 0.925 0.515

---

# 4
# LaAs2WSe, relaxed, DFT PBE-GGA
# - E above lowest polymorph (eV/f.u.) = 0.00
# - energy relative to the elements, uncorrected (eV per atom) = -0.341
data_LaAs2WSe
_cell_length_a 4.839
_cell_length_b 4.839
_cell_length_c 5.225
_cell_angle_alpha 90.00
_cell_angle_beta 90.00
_cell_angle_gamma 90.00
_symmetry_space_group_name_H-M 'P 1'
_symmetry_Int_Tables_number 1
_symmetry_space_group_name_Hall 'P 1'
loop_
_atom_site_label
_atom_site_type_symbol
_atom_site_fract_x
_atom_site_fract_y
_atom_site_fract_z
La1 La 0.000 0.000 0.000
As1 As 0.000 0.500 0.500
As2 As 0.500 0.000 0.500
W1 W 0.500 0.500 0.500
Se1 Se 0.500 0.500 0.000

---

# 5
# LuAsIr, relaxed, DFT PBE-GGA
# - energy of formation from the pure elements (meV per atom) = -916
data_LuAsIr
_cell_length_a 4.336
_cell_length_b 4.336
_cell_length_c 3.401
_cell_angle_alpha 90.00
_cell_angle_beta 90.00
_cell_angle_gamma 120.00
_symmetry_space_group_name_H-M 'P 1'
_symmetry_Int_Tables_number 1
_symmetry_space_group_name_Hall 'P 1'
loop_
_atom_site_label
_atom_site_type_symbol
_atom_site_fract_x
_atom_site_fract_y
_atom_site_fract_z
Lu1 Lu 0.000 0.000 0.000
As1 As 0.667 0.333 0.500
Ir1 Ir 0.333 0.667 0.500

---

# 6
# Os2PtSe, relaxed, DFT PBE-GGA
# - energy relative to the elements, uncorrected (eV per atom) = 0.675
data_Os2PtSe
_cell_length_a 2.972
_cell_length_b 2.972
_cell_length_c 6.850
_cell_angle_alpha 90.00
_cell_angle_beta 90.00
_cell_angle_gamma 90.00
_symmetry_space_group_name_H-M 'P 1'
_symmetry_Int_Tables_number 1
_symmetry_space_group_name_Hall 'P 1'
loop_
_atom_site_label
_atom_site_type_symbol
_atom_site_fract_x
_atom_site_fract_y
_atom_site_fract_z
Os1 Os 0.000 0.000 0.233
Os2 Os 0.000 0.000 0.767
Pt1 Pt 0.500 0.500 0.500
Se1 Se 0.500 0.500 0.000

---

Short version: raw total energy = -3.301 -5.615 -2.836 -6.474 -6.927 -7.321 eV/atom, in the order given.